# 1
A relaxed structure of Y2Hf2Ti. Source: Alexandria via LeMat-Bulk, functional GGA-PBE.

Spin magnetization, μB per cell: 3.0
Total energy, eV/atom: -7.77
E_form, meV/atom: 375
V, Å³ per atom: 25.9
Density of states at the Fermi level, states/eV/cell: 13.73
Theoretical density, g/cm3: 7.474
Space group: No. 127

Unit cell a=7.222 b=7.222 c=4.963 alpha=90.00 beta=90.00 gamma=90.00
Each line ends with the local moment (μB).
Fractional positions:
Hf  0.641  0.141  0.000  0.19
Hf  0.141  0.359  0.000  0.19
Hf  0.359  0.859  0.000  0.19
Hf  0.859  0.641  0.000  0.19
Ti  0.000  0.000  0.000  0.76
Ti  0.500  0.500  0.000  0.77
Y  0.334  0.166  0.500  0.02
Y  0.834  0.334  0.500  0.01
Y  0.666  0.834  0.500  0.02
Y  0.166  0.666  0.500  0.01

# 2
A relaxed structure of Y3Hf12Ti5. Source: Alexandria via LeMat-Bulk, functional GGA-PBE.

Spin magnetization, μB per cell: 18.1
Total energy, eV/atom: -7.61
E_form, meV/atom: 1306
V, Å³ per atom: 29.5
Density of states at the Fermi level, states/eV/cell: 102.39
Theoretical density, g/cm3: 7.447
Space group: No. 230

Unit cell a=14.531 b=14.531 c=14.531 alpha=109.47 beta=109.47 gamma=109.47
Each line ends with the local moment (μB).
Fractional positions:
Y  0.250  0.625  0.875  0.05
Y  0.875  0.125  0.250  0.05
Y  0.625  0.375  0.750  0.05
Y  0.750  0.375  0.125  0.05
Y  0.625  0.250  0.375  0.05
Y  0.375  0.750  0.625  0.05
Y  0.875  0.750  0.125  0.05
Y  0.375  0.625  0.250  0.05
Y  0.250  0.125  0.375  0.05
Y  0.750  0.875  0.625  0.05
Y  0.125  0.250  0.875  0.05
Y  0.125  0.875  0.750  0.05
Ti  0.250  0.875  0.125  1.02
Ti  0.875  0.625  0.750  1.02
Ti  0.750  0.125  0.875  1.02
Ti  0.500  0.000  0.500  -0.21
Ti  0.000  0.500  0.000  -0.21
Ti  0.625  0.875  0.250  1.02
Ti  0.250  0.375  0.625  1.02
Ti  0.500  0.000  0.000  -0.21
Ti  0.000  0.500  0.500  -0.21
Ti  0.000  0.000  0.500  -0.21
Ti  0.125  0.375  0.250  1.02
Ti  0.500  0.500  0.500  -0.21
Ti  0.125  0.750  0.375  1.02
Ti  0.375  0.250  0.125  1.02
Ti  0.875  0.250  0.625  1.02
Ti  0.000  0.000  0.000  -0.21
Ti  0.750  0.625  0.375  1.02
Ti  0.375  0.125  0.750  1.02
Ti  0.625  0.750  0.875  1.02
Ti  0.500  0.500  0.000  -0.21
Hf  0.690  0.516  0.556  0.07
Hf  0.484  0.310  0.944  0.07
Hf  0.516  0.825  0.959  0.07
Hf  0.634  0.675  0.690  0.07
Hf  0.556  0.016  0.690  0.07
Hf  0.541  0.556  0.866  0.07
Hf  0.444  0.459  0.634  0.07
Hf  0.634  0.959  0.444  0.07
Hf  0.016  0.459  0.325  0.07
Hf  0.516  0.690  0.056  0.07
Hf  0.810  0.866  0.325  0.07
Hf  0.056  0.866  0.041  0.07
Hf  0.556  0.541  0.366  0.07
Hf  0.016  0.556  0.190  0.07
Hf  0.825  0.310  0.866  0.07
Hf  0.459  0.444  0.134  0.07
Hf  0.041  0.675  0.484  0.07
Hf  0.984  0.541  0.675  0.07
Hf  0.134  0.190  0.175  0.07
Hf  0.866  0.810  0.825  0.07
Hf  0.134  0.944  0.459  0.07
Hf  0.866  0.056  0.541  0.07
Hf  0.690  0.175  0.634  0.07
Hf  0.175  0.690  0.134  0.07
Hf  0.310  0.484  0.444  0.07
Hf  0.944  0.134  0.959  0.07
Hf  0.541  0.984  0.175  0.07
Hf  0.041  0.366  0.056  0.07
Hf  0.190  0.056  0.016  0.07
Hf  0.984  0.444  0.810  0.07
Hf  0.675  0.634  0.190  0.07
Hf  0.944  0.810  0.484  0.07
Hf  0.484  0.175  0.041  0.07
Hf  0.444  0.984  0.310  0.07
Hf  0.175  0.484  0.541  0.07
Hf  0.675  0.041  0.984  0.07
Hf  0.366  0.041  0.556  0.07
Hf  0.366  0.325  0.310  0.07
Hf  0.459  0.016  0.825  0.07
Hf  0.190  0.134  0.675  0.07
Hf  0.310  0.825  0.366  0.07
Hf  0.056  0.190  0.516  0.07
Hf  0.959  0.325  0.516  0.07
Hf  0.325  0.366  0.810  0.07
Hf  0.325  0.959  0.016  0.07
Hf  0.959  0.634  0.944  0.07
Hf  0.810  0.944  0.984  0.07
Hf  0.825  0.516  0.459  0.07

# 3
A relaxed structure of Hf2TiZn. Source: Alexandria via LeMat-Bulk, functional GGA-PBE.

Spin magnetization, μB per cell: 0.0
Total energy, eV/atom: -7.28
E_form, meV/atom: -11
V, Å³ per atom: 19.7
Density of states at the Fermi level, states/eV/cell: 2.72
Theoretical density, g/cm3: 9.907
Space group: No. 160

Unit cell a=3.117 b=3.117 c=9.542 alpha=80.60 beta=80.60 gamma=60.00
Fractional positions:
Hf  0.250  0.250  0.249
Hf  0.083  0.083  0.750
Ti  0.500  0.500  0.501
Zn  0.667  0.667  0.000

# 4
A relaxed structure of HfTiZn2. Source: Alexandria via LeMat-Bulk, functional GGA-PBE.

Spin magnetization, μB per cell: 0.0
Total energy, eV/atom: -5.29
E_form, meV/atom: -189
V, Å³ per atom: 16.8
Density of states at the Fermi level, states/eV/cell: 0.86
Theoretical density, g/cm3: 8.842
Space group: No. 123

Unit cell a=3.221 b=3.221 c=6.465 alpha=90.00 beta=90.00 gamma=90.00
Fractional positions:
Hf  0.500  0.500  0.500
Zn  0.000  0.000  0.231
Zn  0.000  0.000  0.769
Ti  0.500  0.500  0.000

# 5
A relaxed structure of HfTi3Zn4. Source: Alexandria via LeMat-Bulk, functional GGA-PBE.

Spin magnetization, μB per cell: 0.0
Total energy, eV/atom: -5.03
E_form, meV/atom: -185
V, Å³ per atom: 16.2
Density of states at the Fermi level, states/eV/cell: 2.05
Theoretical density, g/cm3: 7.501
Space group: No. 123

Unit cell a=3.183 b=3.183 c=12.757 alpha=90.00 beta=90.00 gamma=90.00
Fractional positions:
Ti  0.500  0.500  0.742
Ti  0.500  0.500  0.500
Ti  0.500  0.500  0.258
Zn  0.000  0.000  0.138
Zn  0.000  0.000  0.379
Zn  0.000  0.000  0.621
Zn  0.000  0.000  0.862
Hf  0.500  0.500  0.000

# 6
A relaxed structure of Hf4TiZn. Source: Alexandria via LeMat-Bulk, functional GGA-PBE.

Spin magnetization, μB per cell: 0.0
Total energy, eV/atom: -8.20
E_form, meV/atom: -32
V, Å³ per atom: 20.3
Density of states at the Fermi level, states/eV/cell: 8.08
Theoretical density, g/cm3: 11.277
Space group: No. 123

Unit cell a=3.151 b=3.151 c=12.269 alpha=90.00 beta=90.00 gamma=90.00
Fractional positions:
Hf  0.000  0.000  0.654
Hf  0.500  0.500  0.831
Hf  0.500  0.500  0.169
Hf  0.000  0.000  0.346
Zn  0.500  0.500  0.500
Ti  0.000  0.000  0.000

# 7
A relaxed structure of HfTi2Zn. Source: Alexandria via LeMat-Bulk, functional GGA-PBE.

Spin magnetization, μB per cell: 0.0
Total energy, eV/atom: -6.83
E_form, meV/atom: -78
V, Å³ per atom: 17.5
Density of states at the Fermi level, states/eV/cell: 4.66
Theoretical density, g/cm3: 8.061
Space group: No. 123

Unit cell a=4.148 b=4.107 c=4.107 alpha=90.00 beta=90.00 gamma=90.00
Fractional positions:
Zn  0.500  0.000  0.000
Ti  0.000  0.500  0.000
Ti  0.000  0.000  0.500
Hf  0.500  0.500  0.500

# 8
A relaxed structure of Hf5TiZn4. Source: Alexandria via LeMat-Bulk, functional GGA-PBE.

Spin magnetization, μB per cell: 0.0
Total energy, eV/atom: -6.42
E_form, meV/atom: -148
V, Å³ per atom: 18.4
Density of states at the Fermi level, states/eV/cell: 7.35
Theoretical density, g/cm3: 10.820
Space group: No. 123

Unit cell a=3.274 b=3.274 c=17.208 alpha=90.00 beta=90.00 gamma=90.00
Fractional positions:
Hf  0.500  0.500  0.893
Hf  0.500  0.500  0.305
Hf  0.500  0.500  0.500
Hf  0.500  0.500  0.107
Hf  0.500  0.500  0.695
Ti  0.000  0.000  0.000
Zn  0.000  0.000  0.597
Zn  0.000  0.000  0.793
Zn  0.000  0.000  0.207
Zn  0.000  0.000  0.403

Question: The highest spin magnetization belongs to which entry?
Answer: Y3Hf12Ti5

Copy entry 1 word for word.
A relaxed structure of Y2Hf2Ti. Source: Alexandria via LeMat-Bulk, functional GGA-PBE.

Spin magnetization, μB per cell: 3.0
Total energy, eV/atom: -7.77
E_form, meV/atom: 375
V, Å³ per atom: 25.9
Density of states at the Fermi level, states/eV/cell: 13.73
Theoretical density, g/cm3: 7.474
Space group: No. 127

Unit cell a=7.222 b=7.222 c=4.963 alpha=90.00 beta=90.00 gamma=90.00
Each line ends with the local moment (μB).
Fractional positions:
Hf  0.641  0.141  0.000  0.19
Hf  0.141  0.359  0.000  0.19
Hf  0.359  0.859  0.000  0.19
Hf  0.859  0.641  0.000  0.19
Ti  0.000  0.000  0.000  0.76
Ti  0.500  0.500  0.000  0.77
Y  0.334  0.166  0.500  0.02
Y  0.834  0.334  0.500  0.01
Y  0.666  0.834  0.500  0.02
Y  0.166  0.666  0.500  0.01

Please write out number 3 again, unchanged.
A relaxed structure of Hf2TiZn. Source: Alexandria via LeMat-Bulk, functional GGA-PBE.

Spin magnetization, μB per cell: 0.0
Total energy, eV/atom: -7.28
E_form, meV/atom: -11
V, Å³ per atom: 19.7
Density of states at the Fermi level, states/eV/cell: 2.72
Theoretical density, g/cm3: 9.907
Space group: No. 160

Unit cell a=3.117 b=3.117 c=9.542 alpha=80.60 beta=80.60 gamma=60.00
Fractional positions:
Hf  0.250  0.250  0.249
Hf  0.083  0.083  0.750
Ti  0.500  0.500  0.501
Zn  0.667  0.667  0.000